# Li2FeF5, relaxed, DFT GGA+U
# Excess energy over the best structure of this formula in the dataset, meV/atom: 0
data_Li2FeF5
_chemical_formula_sum 'Li8 Fe4 F20'
_space_group_name_H-M_alt 'C 1 2/c 1'
_space_group_IT_number 15
_cell_length_a 10.2238
_cell_length_b 5.1491
_cell_length_c 7.2436
_cell_angle_alpha 90.00
_cell_angle_beta 111.76
_cell_angle_gamma 90.00
loop_
_space_group_symop_operation_xyz
'x,y,z'
'-x,-y,-z'
'-x,y,-z+1/2'
'x,-y,z+1/2'
'x+1/2,y+1/2,z'
'-x+1/2,-y+1/2,-z'
'-x+1/2,y+1/2,-z+1/2'
'x+1/2,-y+1/2,z+1/2'
loop_
_atom_site_label
_atom_site_type_symbol
_atom_site_fract_x
_atom_site_fract_y
_atom_site_fract_z
Li1 Li 0.1368 0.0188 0.2317
Fe1 Fe 0.0000 0.5000 0.0000
F1 F 0.0000 0.3229 0.7500
F2 F 0.0807 0.1772 0.4521
F3 F 0.1830 0.3557 0.1468

# Li3Fe2F7, relaxed, DFT GGA+U
# Excess energy over the best structure of this formula in the dataset, meV/atom: 136
data_Li3Fe2F7
_chemical_formula_sum 'Li12 Fe8 F28'
_space_group_name_H-M_alt 'P 1 21/c 1'
_space_group_IT_number 14
_cell_length_a 7.5979
_cell_length_b 10.5280
_cell_length_c 8.6001
_cell_angle_alpha 90.00
_cell_angle_beta 122.76
_cell_angle_gamma 90.00
loop_
_space_group_symop_operation_xyz
'x,y,z'
'-x,-y,-z'
'-x,y+1/2,-z+1/2'
'x,-y+1/2,z+1/2'
loop_
_atom_site_label
_atom_site_type_symbol
_atom_site_fract_x
_atom_site_fract_y
_atom_site_fract_z
Li1 Li 0.1209 0.0933 0.3126
Li2 Li 0.2161 0.5611 0.1500
Li3 Li 0.3428 0.7323 0.9292
Fe1 Fe 0.2238 0.5795 0.6048
Fe2 Fe 0.3213 0.2259 0.6721
F1 F 0.0765 0.1151 0.5144
F2 F 0.1248 0.1097 0.0700
F3 F 0.1830 0.6126 0.3569
F4 F 0.2129 0.5771 0.8310
F5 F 0.3515 0.2232 0.4272
F6 F 0.3568 0.7320 0.1771
F7 F 0.4631 0.0423 0.7645

# LiFe2F5, relaxed, DFT GGA+U
# Excess energy over the best structure of this formula in the dataset, meV/atom: 22
data_LiFe2F5
_chemical_formula_sum 'Li4 Fe8 F20'
_space_group_name_H-M_alt 'C 1 2/c 1'
_space_group_IT_number 15
_cell_length_a 10.9535
_cell_length_b 5.3282
_cell_length_c 7.5297
_cell_angle_alpha 90.00
_cell_angle_beta 113.32
_cell_angle_gamma 90.00
loop_
_space_group_symop_operation_xyz
'x,y,z'
'-x,-y,-z'
'-x,y,-z+1/2'
'x,-y,z+1/2'
'x+1/2,y+1/2,z'
'-x+1/2,-y+1/2,-z'
'-x+1/2,y+1/2,-z+1/2'
'x+1/2,-y+1/2,z+1/2'
loop_
_atom_site_label
_atom_site_type_symbol
_atom_site_fract_x
_atom_site_fract_y
_atom_site_fract_z
Li1 Li 0.0000 0.0000 0.0000
Fe1 Fe 0.1839 0.4962 0.3769
F1 F 0.0000 0.3397 0.2500
F2 F 0.1317 0.1588 0.9608
F3 F 0.1900 0.3073 0.6335

# Li2Fe2F, relaxed, DFT GGA+U
# Excess energy over the best structure of this formula in the dataset, meV/atom: 0
data_Li2Fe2F
_chemical_formula_sum 'Li4 Fe4 F2'
_space_group_name_H-M_alt 'P 4/m b m'
_space_group_IT_number 127
_space_group_name_Hall '-P 4 2ab'
_cell_length_a 5.2122
_cell_length_b 5.2122
_cell_length_c 5.9842
_cell_angle_alpha 90.00
_cell_angle_beta 90.00
_cell_angle_gamma 90.00
loop_
_atom_site_label
_atom_site_type_symbol
_atom_site_fract_x
_atom_site_fract_y
_atom_site_fract_z
Li1 Li 0.1971 0.3029 0.0000
Fe1 Fe 0.1956 0.6956 0.5000
F1 F 0.0000 0.0000 0.0000

# Li3Fe2F7, relaxed, DFT GGA+U
# Excess energy over the best structure of this formula in the dataset, meV/atom: 0
data_Li3Fe2F7
_chemical_formula_sum 'Li12 Fe8 F28'
_space_group_name_H-M_alt 'C 1 2/c 1'
_space_group_IT_number 15
_cell_length_a 10.7705
_cell_length_b 5.1922
_cell_length_c 9.9739
_cell_angle_alpha 90.00
_cell_angle_beta 101.12
_cell_angle_gamma 90.00
loop_
_space_group_symop_operation_xyz
'x,y,z'
'-x,-y,-z'
'-x,y,-z+1/2'
'x,-y,z+1/2'
'x+1/2,y+1/2,z'
'-x+1/2,-y+1/2,-z'
'-x+1/2,y+1/2,-z+1/2'
'x+1/2,-y+1/2,z+1/2'
loop_
_atom_site_label
_atom_site_type_symbol
_atom_site_fract_x
_atom_site_fract_y
_atom_site_fract_z
Li1 Li 0.0705 0.2505 0.1601
Li2 Li 0.2500 0.2500 0.5000
Fe1 Fe 0.1648 0.2437 0.8458
F1 F 0.0000 0.4430 0.7500
F2 F 0.0895 0.0980 0.3748
F3 F 0.1603 0.4191 0.0371
F4 F 0.2133 0.0452 0.6723

# Li4Fe2F9, relaxed, DFT GGA+U
# Total DFT energy (no corrections), eV per atom: -5.092
data_Li4Fe2F9
_chemical_formula_sum 'Li8 Fe4 F18'
_space_group_name_H-M_alt 'P -3'
_space_group_IT_number 147
_cell_length_a 5.1612
_cell_length_b 5.1612
_cell_length_c 13.9180
_cell_angle_alpha 90.00
_cell_angle_beta 90.00
_cell_angle_gamma 120.00
loop_
_space_group_symop_operation_xyz
'x,y,z'
'-x,-y,-z'
'-y,x-y,z'
'y,-x+y,-z'
'-x+y,-x,z'
'x-y,x,-z'
loop_
_atom_site_label
_atom_site_type_symbol
_atom_site_fract_x
_atom_site_fract_y
_atom_site_fract_z
Li1 Li 0.3333 0.6667 0.1777
Li2 Li 0.3333 0.6667 0.4835
Li3 Li 0.3333 0.6667 0.6902
Li4 Li 0.3333 0.6667 0.9848
Fe1 Fe 0.0000 0.0000 0.1324
Fe2 Fe 0.0000 0.0000 0.3484
F1 F 0.0043 0.7032 0.2570
F2 F 0.0203 0.3720 0.0862
F3 F 0.0256 0.6857 0.5830

# LiFeF2, relaxed, DFT GGA+U
# Excess energy over the best structure of this formula in the dataset, meV/atom: 0
data_LiFeF2
_chemical_formula_sum 'Li3 Fe3 F6'
_space_group_name_H-M_alt 'R -3 m'
_space_group_IT_number 166
_space_group_name_Hall '-R 3 2"'
_cell_length_a 2.9004
_cell_length_b 2.9004
_cell_length_c 18.3139
_cell_angle_alpha 90.00
_cell_angle_beta 90.00
_cell_angle_gamma 120.00
loop_
_atom_site_label
_atom_site_type_symbol
_atom_site_fract_x
_atom_site_fract_y
_atom_site_fract_z
Li1 Li 0.0000 0.0000 0.0000
Fe1 Fe 0.0000 0.0000 0.5000
F1 F 0.0000 0.0000 0.3944

# Li2FeF, relaxed, DFT GGA+U
# Excess energy over the best structure of this formula in the dataset, meV/atom: 798
data_Li2FeF
_chemical_formula_sum 'Li8 Fe4 F4'
_space_group_name_H-M_alt 'F m -3 m'
_space_group_IT_number 225
_space_group_name_Hall '-F 4 2 3'
_cell_length_a 6.2323
_cell_length_b 6.2323
_cell_length_c 6.2323
_cell_angle_alpha 90.00
_cell_angle_beta 90.00
_cell_angle_gamma 90.00
loop_
_atom_site_label
_atom_site_type_symbol
_atom_site_fract_x
_atom_site_fract_y
_atom_site_fract_z
Li1 Li 0.2500 0.2500 0.2500
Fe1 Fe 0.0000 0.0000 0.0000
F1 F 0.0000 0.0000 0.5000

# LiFe2F5, relaxed, DFT GGA+U
# Excess energy over the best structure of this formula in the dataset, meV/atom: 46
data_LiFe2F5
_chemical_formula_sum 'Li4 Fe8 F20'
_space_group_name_H-M_alt 'C 1 2/c 1'
_space_group_IT_number 15
_cell_length_a 11.7274
_cell_length_b 5.3155
_cell_length_c 5.4742
_cell_angle_alpha 90.00
_cell_angle_beta 91.09
_cell_angle_gamma 90.00
loop_
_space_group_symop_operation_xyz
'x,y,z'
'-x,-y,-z'
'-x,y,-z+1/2'
'x,-y,z+1/2'
'x+1/2,y+1/2,z'
'-x+1/2,-y+1/2,-z'
'-x+1/2,y+1/2,-z+1/2'
'x+1/2,-y+1/2,z+1/2'
loop_
_atom_site_label
_atom_site_type_symbol
_atom_site_fract_x
_atom_site_fract_y
_atom_site_fract_z
Li1 Li 0.2500 0.2500 0.0000
Fe1 Fe 0.0949 0.2453 0.5387
F1 F 0.0000 0.0454 0.2500
F2 F 0.0882 0.3799 0.9067
F3 F 0.2195 0.0874 0.3376

# LiFeF2, relaxed, DFT GGA+U
# Excess energy over the best structure of this formula in the dataset, meV/atom: 141
data_LiFeF2
_chemical_formula_sum 'Li4 Fe4 F8'
_space_group_name_H-M_alt 'I -4 2 d'
_space_group_IT_number 122
_space_group_name_Hall 'I -4 2bw'
_cell_length_a 4.9396
_cell_length_b 4.9396
_cell_length_c 8.5196
_cell_angle_alpha 90.00
_cell_angle_beta 90.00
_cell_angle_gamma 90.00
loop_
_atom_site_label
_atom_site_type_symbol
_atom_site_fract_x
_atom_site_fract_y
_atom_site_fract_z
Li1 Li 0.0000 0.0000 0.0000
Fe1 Fe 0.0000 0.0000 0.5000
F1 F 0.2019 0.2500 0.1250

# LiFeF2, relaxed, DFT GGA+U
# Excess energy over the best structure of this formula in the dataset, meV/atom: 296
data_LiFeF2
_chemical_formula_sum 'Li4 Fe4 F8'
_space_group_name_H-M_alt 'F m -3 m'
_space_group_IT_number 225
_space_group_name_Hall '-F 4 2 3'
_cell_length_a 5.4270
_cell_length_b 5.4270
_cell_length_c 5.4270
_cell_angle_alpha 90.00
_cell_angle_beta 90.00
_cell_angle_gamma 90.00
loop_
_atom_site_label
_atom_site_type_symbol
_atom_site_fract_x
_atom_site_fract_y
_atom_site_fract_z
Li1 Li 0.0000 0.0000 0.0000
Fe1 Fe 0.0000 0.0000 0.5000
F1 F 0.2500 0.2500 0.2500

# Li2FeF, relaxed, DFT GGA+U
# Excess energy over the best structure of this formula in the dataset, meV/atom: 0
data_Li2FeF
_chemical_formula_sum 'Li8 Fe4 F4'
_space_group_name_H-M_alt 'I -4 2 d'
_space_group_IT_number 122
_space_group_name_Hall 'I -4 2bw'
_cell_length_a 5.7856
_cell_length_b 5.7856
_cell_length_c 7.7023
_cell_angle_alpha 90.00
_cell_angle_beta 90.00
_cell_angle_gamma 90.00
loop_
_atom_site_label
_atom_site_type_symbol
_atom_site_fract_x
_atom_site_fract_y
_atom_site_fract_z
Li1 Li 0.1066 0.2500 0.1250
Fe1 Fe 0.0000 0.0000 0.5000
F1 F 0.0000 0.0000 0.0000